Ca2PmInO | PBE-GGA | relaxed

Cell: 5.009 4.850 4.850 Å, 90.00 90.00 90.00°
Sites, in units of the cell vectors:
Ca1 0.000 0.000 0.500
Ca2 0.000 0.500 0.000
Pm1 0.500 0.000 0.000
In1 0.500 0.500 0.500
O1 0.000 0.000 0.000

final energy: -4.717 eV/atom
ΔE_f (raw): -1.4269 eV/atom